Material: Gd6Zn3O
Method: DFT, GGA-PBE
State: relaxed

Values from the calculation:
**Crystal system**: tetragonal
**Total moment**: 0.0 μB per formula unit

Lattice parameters (Å, degrees): 7.3597 7.3597 7.3597 122.27 122.27 86.11
Closest atoms and distances in Å follow each position.
Fractional positions:
Gd 0.0000 0.3146 0.3146  1 O 2.24
Gd 0.0000 0.6854 0.6854  1 O 2.24
Gd 0.2490 0.2490 0.0000  1 O 2.68, 1 Zn 2.70
Gd 0.3146 0.0000 0.3146  1 O 2.24
Gd 0.6854 0.0000 0.6854  1 O 2.24
Gd 0.7510 0.7510 0.0000  1 O 2.68, 1 Zn 2.70
Zn 0.2500 0.7500 0.5000  4 Gd 2.99
Zn 0.5000 0.5000 0.0000  2 Gd 2.70
Zn 0.7500 0.2500 0.5000  4 Gd 2.99
O 0.0000 0.0000 0.0000  4 Gd 2.24

Material: GdZn2O4
Method: DFT, GGA-PBE
State: relaxed

Values from the calculation:
**Crystal system**: cubic
**Total moment**: 1.0 μB per formula unit

Lattice parameters (Å, degrees): 6.2919 6.2919 6.2919 60.00 60.00 60.00
Closest atoms and distances in Å follow each position.
Fractional positions:
Gd 0.1250 0.1250 0.1250  4 O 2.15
Gd 0.8750 0.8750 0.8750  4 O 2.15
Zn 0.0000 0.5000 0.5000  6 O 2.10
Zn 0.5000 0.0000 0.5000  6 O 2.10
Zn 0.5000 0.5000 0.0000  6 O 2.10
Zn 0.5000 0.5000 0.5000  6 O 2.10
O 0.2645 0.2645 0.2645  3 Zn 2.10, 1 Gd 2.15
O 0.2645 0.2645 0.7065  3 Zn 2.10, 1 Gd 2.15
O 0.2645 0.7065 0.2645  3 Zn 2.10, 1 Gd 2.15
O 0.2935 0.7355 0.7355  3 Zn 2.10, 1 Gd 2.15
O 0.7065 0.2645 0.2645  3 Zn 2.10, 1 Gd 2.15
O 0.7355 0.2935 0.7355  3 Zn 2.10, 1 Gd 2.15
O 0.7355 0.7355 0.2935  3 Zn 2.10, 1 Gd 2.15
O 0.7355 0.7355 0.7355  3 Zn 2.10, 1 Gd 2.15

Material: Gd2Zr2O7
Method: DFT, GGA-PBE
State: relaxed

Values from the calculation:
**Crystal system**: cubic
**Total moment**: 0.0 μB per formula unit

Lattice parameters (Å, degrees): 7.4542 7.4542 7.4542 60.00 60.00 60.00
Closest atoms and distances in Å follow each position.
Fractional positions:
Gd 0.0000 0.0000 0.0000  8 O 2.28-2.51
Gd 0.0000 0.0000 0.5000  8 O 2.28-2.51
Gd 0.0000 0.5000 0.0000  8 O 2.28-2.51
Gd 0.5000 0.0000 0.0000  8 O 2.28-2.51
Zr 0.0000 0.5000 0.5000  6 O 2.09
Zr 0.5000 0.0000 0.5000  6 O 2.09
Zr 0.5000 0.5000 0.0000  6 O 2.09
Zr 0.5000 0.5000 0.5000  6 O 2.09
O 0.1250 0.1250 0.1250  4 Gd 2.28
O 0.1592 0.1592 0.5908  2 Zr 2.09
O 0.1592 0.5908 0.1592  2 Zr 2.09
O 0.1592 0.5908 0.5908  2 Zr 2.09
O 0.4092 0.4092 0.8408  2 Zr 2.09
O 0.4092 0.8408 0.4092  2 Zr 2.09
O 0.4092 0.8408 0.8408  2 Zr 2.09
O 0.5908 0.1592 0.1592  2 Zr 2.09
O 0.5908 0.1592 0.5908  2 Zr 2.09
O 0.5908 0.5908 0.1592  2 Zr 2.09
O 0.8408 0.4092 0.4092  2 Zr 2.09
O 0.8408 0.4092 0.8408  2 Zr 2.09
O 0.8408 0.8408 0.4092  2 Zr 2.09
O 0.8750 0.8750 0.8750  4 Gd 2.28

Short version: DFT total energy = -37.12 -79.32 -197.45 eV/cell, in the order given.